An optimized crystal structure of CrFeTe2. Source: the Alexandria database, functional GGA-PBE.

Cell lengths 3.463, 3.463, 7.357 Å; angles 90.00, 90.00, 90.00 degrees
Space group P4mm (No. 99)
Inequivalent atoms, fractional coordinates:
Cr1 0.000 0.000 0.000
Fe1 0.500 0.500 0.203
Te1 0.000 0.000 0.365
Te2 0.500 0.500 0.836

Values from the calculation:
relative energy among the computed polymorphs = 0.05 eV per formula unit
size of the total moment = 5.30 μB/f.u.
calculated volume = 88.2 Å³ per cell
DOS at the Fermi energy = 3.178 states/eV per cell